(1)
# ErThAgAu | Alexandria | GGA-PBE | optimized geometry
# * crystal system: cubic
data_ErThAgAu
_space_group_name_H-M_alt 'F -4 3 m'
_space_group_IT_number 216
_space_group_name_Hall 'F -4 2 3'
_cell_length_a 7.341
_cell_length_b 7.341
_cell_length_c 7.341
_cell_angle_alpha 90.00
_cell_angle_beta 90.00
_cell_angle_gamma 90.00
loop_
_atom_site_label
_atom_site_fract_x
_atom_site_fract_y
_atom_site_fract_z
Er1 0.000 0.000 0.000
Th1 0.000 0.000 0.500
Ag1 0.250 0.250 0.250
Au1 0.250 0.250 0.750

(2)
# ErTmAgAu | Alexandria | GGA-PBE | optimized geometry
# * crystal system: cubic
data_ErTmAgAu
_space_group_name_H-M_alt 'F -4 3 m'
_space_group_IT_number 216
_space_group_name_Hall 'F -4 2 3'
_cell_length_a 7.151
_cell_length_b 7.151
_cell_length_c 7.151
_cell_angle_alpha 90.00
_cell_angle_beta 90.00
_cell_angle_gamma 90.00
loop_
_atom_site_label
_atom_site_fract_x
_atom_site_fract_y
_atom_site_fract_z
Er1 0.000 0.000 0.000
Tm1 0.000 0.000 0.500
Ag1 0.250 0.250 0.750
Au1 0.250 0.250 0.250

(3)
# EuAg4Au | Alexandria | GGA-PBE | optimized geometry
# * crystal system: cubic
data_EuAg4Au
_space_group_name_H-M_alt 'F -4 3 m'
_space_group_IT_number 216
_space_group_name_Hall 'F -4 2 3'
_cell_length_a 7.931
_cell_length_b 7.931
_cell_length_c 7.931
_cell_angle_alpha 90.00
_cell_angle_beta 90.00
_cell_angle_gamma 90.00
loop_
_atom_site_label
_atom_site_fract_x
_atom_site_fract_y
_atom_site_fract_z
Eu1 0.000 0.000 0.000
Ag1 0.125 0.125 0.375
Au1 0.250 0.250 0.750

(4)
# Eu2AgAu | Alexandria | GGA-PBE | optimized geometry
# * crystal system: tetragonal
data_Eu2AgAu
_space_group_name_H-M_alt 'P 4/m m m'
_space_group_IT_number 123
_space_group_name_Hall '-P 4 2'
_cell_length_a 3.779
_cell_length_b 3.779
_cell_length_c 7.560
_cell_angle_alpha 90.00
_cell_angle_beta 90.00
_cell_angle_gamma 90.00
loop_
_atom_site_label
_atom_site_fract_x
_atom_site_fract_y
_atom_site_fract_z
Eu1 0.000 0.000 0.241
Ag1 0.500 0.500 0.500
Au1 0.500 0.500 0.000

(5)
# Eu2AgAu | Alexandria | GGA-PBE | optimized geometry
# * crystal system: cubic
data_Eu2AgAu
_space_group_name_H-M_alt 'F m -3 m'
_space_group_IT_number 225
_space_group_name_Hall '-F 4 2 3'
_cell_length_a 7.542
_cell_length_b 7.542
_cell_length_c 7.542
_cell_angle_alpha 90.00
_cell_angle_beta 90.00
_cell_angle_gamma 90.00
loop_
_atom_site_label
_atom_site_fract_x
_atom_site_fract_y
_atom_site_fract_z
Eu1 0.250 0.250 0.250
Ag1 0.000 0.000 0.000
Au1 0.000 0.000 0.500

(6)
# EuHoAgAu | Alexandria | GGA-PBE | optimized geometry
# * crystal system: cubic
data_EuHoAgAu
_space_group_name_H-M_alt 'F -4 3 m'
_space_group_IT_number 216
_space_group_name_Hall 'F -4 2 3'
_cell_length_a 7.343
_cell_length_b 7.343
_cell_length_c 7.343
_cell_angle_alpha 90.00
_cell_angle_beta 90.00
_cell_angle_gamma 90.00
loop_
_atom_site_label
_atom_site_fract_x
_atom_site_fract_y
_atom_site_fract_z
Eu1 0.000 0.000 0.000
Ho1 0.000 0.000 0.500
Ag1 0.250 0.250 0.250
Au1 0.250 0.250 0.750

(7)
# EuInAgAu | Alexandria | GGA-PBE | optimized geometry
# * crystal system: cubic
data_EuInAgAu
_space_group_name_H-M_alt 'F -4 3 m'
_space_group_IT_number 216
_space_group_name_Hall 'F -4 2 3'
_cell_length_a 7.185
_cell_length_b 7.185
_cell_length_c 7.185
_cell_angle_alpha 90.00
_cell_angle_beta 90.00
_cell_angle_gamma 90.00
loop_
_atom_site_label
_atom_site_fract_x
_atom_site_fract_y
_atom_site_fract_z
Eu1 0.000 0.000 0.000
In1 0.000 0.000 0.500
Ag1 0.250 0.250 0.750
Au1 0.250 0.250 0.250

(8)
# KEuAgAu | Alexandria | GGA-PBE | optimized geometry
# * crystal system: cubic
data_KEuAgAu
_space_group_name_H-M_alt 'F -4 3 m'
_space_group_IT_number 216
_space_group_name_Hall 'F -4 2 3'
_cell_length_a 7.719
_cell_length_b 7.719
_cell_length_c 7.719
_cell_angle_alpha 90.00
_cell_angle_beta 90.00
_cell_angle_gamma 90.00
loop_
_atom_site_label
_atom_site_fract_x
_atom_site_fract_y
_atom_site_fract_z
K1 0.000 0.000 0.000
Eu1 0.000 0.000 0.500
Ag1 0.250 0.250 0.750
Au1 0.250 0.250 0.250

(9)
# LaEuAgAu | Alexandria | GGA-PBE | optimized geometry
# * crystal system: cubic
data_LaEuAgAu
_space_group_name_H-M_alt 'F -4 3 m'
_space_group_IT_number 216
_space_group_name_Hall 'F -4 2 3'
_cell_length_a 7.254
_cell_length_b 7.254
_cell_length_c 7.254
_cell_angle_alpha 90.00
_cell_angle_beta 90.00
_cell_angle_gamma 90.00
loop_
_atom_site_label
_atom_site_fract_x
_atom_site_fract_y
_atom_site_fract_z
La1 0.000 0.000 0.000
Eu1 0.250 0.250 0.750
Ag1 0.000 0.000 0.500
Au1 0.250 0.250 0.250

(10)
# LiEuAgAu | Alexandria | GGA-PBE | optimized geometry
# * crystal system: cubic
data_LiEuAgAu
_space_group_name_H-M_alt 'F -4 3 m'
_space_group_IT_number 216
_space_group_name_Hall 'F -4 2 3'
_cell_length_a 7.158
_cell_length_b 7.158
_cell_length_c 7.158
_cell_angle_alpha 90.00
_cell_angle_beta 90.00
_cell_angle_gamma 90.00
loop_
_atom_site_label
_atom_site_fract_x
_atom_site_fract_y
_atom_site_fract_z
Li1 0.000 0.000 0.000
Eu1 0.000 0.000 0.500
Ag1 0.250 0.250 0.750
Au1 0.250 0.250 0.250

(11)
# EuLuAgAu | Alexandria | GGA-PBE | optimized geometry
# * crystal system: cubic
data_EuLuAgAu
_space_group_name_H-M_alt 'F -4 3 m'
_space_group_IT_number 216
_space_group_name_Hall 'F -4 2 3'
_cell_length_a 7.290
_cell_length_b 7.290
_cell_length_c 7.290
_cell_angle_alpha 90.00
_cell_angle_beta 90.00
_cell_angle_gamma 90.00
loop_
_atom_site_label
_atom_site_fract_x
_atom_site_fract_y
_atom_site_fract_z
Eu1 0.000 0.000 0.000
Lu1 0.000 0.000 0.500
Ag1 0.250 0.250 0.250
Au1 0.250 0.250 0.750

(12)
# EuMgAgAu | Alexandria | GGA-PBE | optimized geometry
# * crystal system: cubic
data_EuMgAgAu
_space_group_name_H-M_alt 'F -4 3 m'
_space_group_IT_number 216
_space_group_name_Hall 'F -4 2 3'
_cell_length_a 7.175
_cell_length_b 7.175
_cell_length_c 7.175
_cell_angle_alpha 90.00
_cell_angle_beta 90.00
_cell_angle_gamma 90.00
loop_
_atom_site_label
_atom_site_fract_x
_atom_site_fract_y
_atom_site_fract_z
Eu1 0.000 0.000 0.000
Mg1 0.000 0.000 0.500
Ag1 0.250 0.250 0.250
Au1 0.250 0.250 0.750

(13)
# NaEuAgAu | Alexandria | GGA-PBE | optimized geometry
# * crystal system: cubic
data_NaEuAgAu
_space_group_name_H-M_alt 'F -4 3 m'
_space_group_IT_number 216
_space_group_name_Hall 'F -4 2 3'
_cell_length_a 7.224
_cell_length_b 7.224
_cell_length_c 7.224
_cell_angle_alpha 90.00
_cell_angle_beta 90.00
_cell_angle_gamma 90.00
loop_
_atom_site_label
_atom_site_fract_x
_atom_site_fract_y
_atom_site_fract_z
Na1 0.000 0.000 0.000
Eu1 0.250 0.250 0.250
Ag1 0.250 0.250 0.750
Au1 0.000 0.000 0.500

(14)
# NdEuAgAu | Alexandria | GGA-PBE | optimized geometry
# * crystal system: cubic
data_NdEuAgAu
_space_group_name_H-M_alt 'F -4 3 m'
_space_group_IT_number 216
_space_group_name_Hall 'F -4 2 3'
_cell_length_a 7.214
_cell_length_b 7.214
_cell_length_c 7.214
_cell_angle_alpha 90.00
_cell_angle_beta 90.00
_cell_angle_gamma 90.00
loop_
_atom_site_label
_atom_site_fract_x
_atom_site_fract_y
_atom_site_fract_z
Nd1 0.000 0.000 0.000
Eu1 0.250 0.250 0.750
Ag1 0.000 0.000 0.500
Au1 0.250 0.250 0.250

For each record above, in turn, the calculated energy of formation values are -0.4215; -0.6104; -0.2059; -0.5471; -0.5212; -0.5267; -0.4316; -0.2495; -0.3812; -0.3938; -0.5222; -0.4494; -0.2751; -0.3421 eV/atom.
For each record above, in turn, the calculated D(E_F) values are 17.50; 10.97; 27.48; 14.03; 19.85; 36.91; 47.86; 41.52; 13.58; 46.54; 36.85; 31.92; 42.88; 13.37 states/eV/cell.
For each record above, in turn, the calculated total moment values are 0.00; 0.00; 1.25; 3.63; 0.00; 1.75; 1.77; 1.86; 1.75; 1.79; 1.75; 1.79; 1.80; 1.75 μB/atom.